(1)
## ZnNi2Ag (PBE)

Data for ZnNi2Ag after structural relaxation.

Properties
DFT total energy = -3.869 eV/atom
magnetization = 0.0 μB per cell

Cell: 3.805 3.805 7.318 Å, 90.00 90.00 90.00°
Space group I-4m2 (No. 119)
Inequivalent atoms, fractional coordinates:
Zn  0.000  0.000  0.000 (multiplicity 2)
Ni  0.000  0.000  0.500 (multiplicity 2)
Ni  0.000  0.500  0.250 (multiplicity 2)
Ag  0.000  0.500  0.750 (multiplicity 2)

***

(2)
## Zn2NiAg (PBE)

Data for Zn2NiAg after structural relaxation.

Properties
DFT total energy = -2.828 eV/atom
magnetization = 0.0 μB per cell

Cell: 3.735 3.735 8.168 Å, 90.00 90.00 90.00°
Space group I-4m2 (No. 119)
Inequivalent atoms, fractional coordinates:
Zn  0.000  0.000  0.000 (multiplicity 2)
Zn  0.000  0.500  0.250 (multiplicity 2)
Ni  0.000  0.000  0.500 (multiplicity 2)
Ag  0.000  0.500  0.750 (multiplicity 2)

***

(3)
## Zn2NiAg (PBE)

Data for Zn2NiAg after structural relaxation.

Properties
DFT total energy = -2.790 eV/atom
magnetization = 0.0 μB per cell

Cell: 6.106 6.106 6.106 Å, 90.00 90.00 90.00°
Space group F-43m (No. 216)
Inequivalent atoms, fractional coordinates:
Zn  0.000  0.000  0.000 (multiplicity 4)
Zn  0.250  0.250  0.250 (multiplicity 4)
Ni  0.250  0.250  0.750 (multiplicity 4)
Ag  0.000  0.000  0.500 (multiplicity 4)

***

(4)
## ZnNi2Ag (PBE)

Data for ZnNi2Ag after structural relaxation.

Properties
DFT total energy = -3.856 eV/atom
magnetization = 0.6 μB per cell

Cell: 8.728 2.714 4.600 Å, 90.00 102.22 90.00°
Space group C2/m (No. 12)
Inequivalent atoms, fractional coordinates:
Zn  0.000  0.000  0.000 (multiplicity 2)
Ni  0.243  0.500  0.231 (multiplicity 4)
Ag  0.000  0.500  0.500 (multiplicity 2)

***

no.,formation enthalpy at 0 K (eV per atom)
1,0.05
2,-0.03
3,0.01
4,0.07